Entry from Alexandria: a geometry-optimized SiPtSe structure (PBE-GGA).

Unit cell a=3.5233 b=3.5233 c=4.8659 alpha=90.00 beta=90.00 gamma=120.00
Last column: nearest neighbours and their distance in Å.
Space group P3m1 (No. 156)
Unique sites:
Si  0.0000  0.0000  0.0000 (multiplicity 1)  3 Pt 2.41, 3 Se 2.65
Pt  0.6667  0.3333  0.2659 (multiplicity 1)  3 Si 2.41
Se  0.3333  0.6667  0.6514 (multiplicity 1)  3 Si 2.65, 3 Pt 2.77

ΔE_f (raw): -0.292 eV per atom